The following is a PBE calculation of crystalline Cr2ReAg at its relaxed geometry, from Alexandria via LeMat-Bulk.

It has space group C2/m (No. 12), with a = 5.458 Å, b = 7.568 Å, c = 2.697 Å, α = 90.00°, β = 90.15° and γ = 90.00°. Symmetry generates all atoms from Cr at (0.250, 0.250, 0.000), Re at (0.000, 0.000, 0.500) and Ag at (0.000, 0.500, 0.500).

Its total DFT energy (no corrections) is -8.09 eV per atom. As for the volume: 13.9 Å³/atom. The crystal system is monoclinic.